# 1
{
  "formula": "PrTm2Al7Cu2",
  "functional": "PBE",
  "state": "optimized geometry",
  "cell": [[2.746, 1.586, 8.495], [-2.746, 1.586, 8.495], [0.000, -3.171, 8.495]],
  "species": ["Pr", "Tm", "Tm", "Al", "Al", "Al", "Al", "Al", "Al", "Al", "Cu", "Cu"],
  "fractional_positions": [[0.000, 0.000, 0.000], [0.142, 0.142, 0.142], [0.858, 0.858, 0.858], [0.074, 0.583, 0.583], [0.417, 0.417, 0.926], [0.417, 0.926, 0.417], [0.500, 0.500, 0.500], [0.583, 0.074, 0.583], [0.583, 0.583, 0.074], [0.926, 0.417, 0.417], [0.335, 0.335, 0.335], [0.665, 0.665, 0.665]],
  "spacegroup": "R-3m, No. 166",
  "dft_energy_ev_per_cell": -53.23
}

---

# 2
{
  "formula": "PrY2Al7Cu2",
  "functional": "PBE",
  "state": "optimized geometry",
  "cell": [[2.767, 1.598, 8.558], [-2.767, 1.598, 8.558], [0.000, -3.195, 8.558]],
  "species": ["Pr", "Y", "Y", "Al", "Al", "Al", "Al", "Al", "Al", "Al", "Cu", "Cu"],
  "fractional_positions": [[0.000, 0.000, 0.000], [0.142, 0.142, 0.142], [0.858, 0.858, 0.858], [0.073, 0.582, 0.582], [0.418, 0.418, 0.927], [0.418, 0.927, 0.418], [0.500, 0.500, 0.500], [0.582, 0.073, 0.582], [0.582, 0.582, 0.073], [0.927, 0.418, 0.418], [0.335, 0.335, 0.335], [0.665, 0.665, 0.665]],
  "spacegroup": "R-3m, No. 166",
  "dft_energy_ev_per_cell": -57.42
}

---

# 3
{
  "formula": "Pr2YAl7Cu2",
  "functional": "PBE",
  "state": "optimized geometry",
  "cell": [[2.789, 1.610, 8.617], [-2.789, 1.610, 8.617], [0.000, -3.220, 8.617]],
  "species": ["Pr", "Pr", "Y", "Al", "Al", "Al", "Al", "Al", "Al", "Al", "Cu", "Cu"],
  "fractional_positions": [[0.142, 0.142, 0.142], [0.858, 0.858, 0.858], [0.000, 0.000, 0.000], [0.071, 0.579, 0.579], [0.421, 0.421, 0.929], [0.421, 0.929, 0.421], [0.500, 0.500, 0.500], [0.579, 0.071, 0.579], [0.579, 0.579, 0.071], [0.929, 0.421, 0.421], [0.335, 0.335, 0.335], [0.665, 0.665, 0.665]],
  "spacegroup": "R-3m, No. 166",
  "dft_energy_ev_per_cell": -55.24
}

---

Q: What is the formula in the third record?
A: Pr2YAl7Cu2